No. 1
Crystalline CdIn3Si at its relaxed geometry, computed with PBE.

Lattice parameters (Å, degrees): 5.308 5.308 5.308 90.00 90.00 90.00
Fractional positions:
Cd: 0.000 0.000 0.000
In: 0.000 0.500 0.500
In: 0.500 0.000 0.500
In: 0.500 0.500 0.000
Si: 0.500 0.500 0.500

Properties
ΔE to the lowest computed polymorph (meV/atom): 0
SG: Pm-3m (221)

***

No. 2
Crystalline TcS at its relaxed geometry, computed with PBE.

Lattice parameters (Å, degrees): 3.641 3.641 6.286 90.00 90.00 120.00
Fractional positions:
Tc: 0.333 0.667 0.000
Tc: 0.667 0.333 0.500
S: 0.333 0.667 0.633
S: 0.667 0.333 0.133

Properties
ΔE to the lowest computed polymorph (meV/atom): 355
SG: P6_3mc (186)

***

No. 3
Crystalline NpScIrO6 at its relaxed geometry, computed with PBE.

Lattice parameters (Å, degrees): 5.418 5.418 8.623 90.00 90.00 120.00
Fractional positions:
Np: 0.333 0.667 0.250
Np: 0.667 0.333 0.750
Sc: 0.333 0.667 0.750
Sc: 0.667 0.333 0.250
Ir: 0.000 0.000 0.000
Ir: 0.000 0.000 0.500
O: 0.005 0.328 0.126
O: 0.005 0.677 0.374
O: 0.323 0.328 0.374
O: 0.323 0.995 0.126
O: 0.328 0.005 0.626
O: 0.328 0.323 0.874
O: 0.672 0.677 0.126
O: 0.672 0.995 0.374
O: 0.677 0.005 0.874
O: 0.677 0.672 0.626
O: 0.995 0.323 0.626
O: 0.995 0.672 0.874

Properties
SG: P-31c (163)

***

Sequential uncorrected formation energy output: 1.931; -0.068; -19.982 eV/f.u.
Sequential electronic total energy output: -12.6; -29.1; -155.7 eV per cell
Sequential Fermi-level density of states output: 1.12; 0.98; 0.18 states/eV/atom